[1]
DFT (PBE) results for a geometry-optimized Cu2Te6Pd structure.

Output
energy above the most stable polymorph in this dataset: 0.760 eV per formula unit
density of states at the Fermi level: 17.5 states/eV/cell

Cell and atoms, written as CIF:
```
data_Cu2Te6Pd
_chemical_formula_sum 'Cu8 Te24 Pd4'
_space_group_name_H-M_alt 'C 1 2/c 1'
_space_group_IT_number 15
_space_group_name_Hall '-C 2yc'
_cell_length_a 13.023
_cell_length_b 9.501
_cell_length_c 8.056
_cell_angle_alpha 90.00
_cell_angle_beta 98.85
_cell_angle_gamma 90.00
loop_
_atom_site_label
_atom_site_type_symbol
_atom_site_fract_x
_atom_site_fract_y
_atom_site_fract_z
_atom_site_occupancy
Cu1 Cu 0.214 0.048 0.341 1
Te1 Te 0.095 0.380 0.573 1
Te2 Te 0.103 0.056 0.578 1
Te3 Te 0.176 0.295 0.158 1
Pd1 Pd 0.000 0.418 0.250 1
```

[2]
DFT (PBE) results for a geometry-optimized CuTe3Pd structure.

Output
energy above the most stable polymorph in this dataset: 0.365 eV per formula unit
density of states at the Fermi level: 8.2 states/eV/cell

Cell and atoms, written as CIF:
```
data_CuTe3Pd
_chemical_formula_sum 'Cu4 Te12 Pd4'
_space_group_name_H-M_alt 'P 1 21/c 1'
_space_group_IT_number 14
_space_group_name_Hall '-P 2ybc'
_cell_length_a 6.293
_cell_length_b 7.455
_cell_length_c 10.788
_cell_angle_alpha 90.00
_cell_angle_beta 106.99
_cell_angle_gamma 90.00
loop_
_atom_site_label
_atom_site_type_symbol
_atom_site_fract_x
_atom_site_fract_y
_atom_site_fract_z
_atom_site_occupancy
Cu1 Cu 0.014 0.142 0.432 1
Te1 Te 0.053 0.051 0.790 1
Te2 Te 0.301 0.668 0.522 1
Te3 Te 0.408 0.150 0.614 1
Pd1 Pd 0.341 0.155 0.313 1
```

no.,magnetization (μB per formula unit),mass density (g/cm³),uncorrected formation energy (eV/atom)
1,0.0,6.738,-0.030
2,0.0,7.586,-0.076